Y6Zn5Tc (PBE, optimized geometry); symmetry = Cmmm (65); E_form = -317.2 meV per atom; calculated density = 5.9 Mg/m³; final energy = -4.94 eV/atom; crystal system = orthorhombic
1.0
-4.006 1.463 2.653
-1.201 -6.775 1.922
2.355 1.677 7.383
Zn Y Tc
5 6 1
direct
0.000 0.500 0.000
0.333 0.500 0.333
0.669 0.000 0.661
0.667 0.500 0.667
0.331 0.000 0.339
0.838 0.244 0.323
0.500 0.240 0.000
0.500 0.760 0.000
0.162 0.756 0.677
0.162 0.244 0.677
0.838 0.756 0.323
0.000 0.000 0.000

CaTcRh (PBE, optimized geometry); polymorph energy (0 for the lowest one) = 155 meV/atom; symmetry = Pm (6); E_form = 52.5 meV per atom; calculated density = 6.2 Mg/m³; final energy = -6.52 eV/atom; crystal system = monoclinic
1.0
-0.124 0.211 -4.272
-0.184 -4.382 -0.210
-6.884 0.023 0.201
Ca Tc Rh
2 2 2
direct
0.546 0.764 0.115
0.046 0.269 0.803
0.545 0.829 0.612
0.545 0.297 0.447
0.045 0.697 0.458
0.045 0.199 0.250

ReSb3P (PBE, optimized geometry); polymorph energy (0 for the lowest one) = 572 meV/atom; symmetry = Pm-3m (221); formation energy (no corrections) = 1.42 eV per atom; calculated density = 7.6 Mg/m³; final energy = -4.63 eV/atom; crystal system = cubic
1.0
5.036 0.000 0.000
0.000 5.036 0.000
0.000 0.000 5.036
Sb P Re
3 1 1
direct
0.000 0.500 0.000
0.000 0.000 0.500
0.500 0.000 0.000
0.000 0.000 0.000
0.500 0.500 0.500

Th2ScRh (PBE, optimized geometry); polymorph energy (0 for the lowest one) = 0 meV/atom; symmetry = Cmcm (63); E_form = -414.2 meV per atom; calculated density = 9.7 Mg/m³; final energy = -7.54 eV/atom; crystal system = orthorhombic
1.0
-2.986 0.110 2.099
4.695 -1.309 3.575
1.489 9.733 1.609
Th Sc Rh
4 2 2
direct
0.368 0.735 0.943
0.632 0.265 0.057
0.632 0.265 0.443
0.368 0.735 0.557
0.911 0.821 0.250
0.089 0.179 0.750
0.778 0.555 0.750
0.222 0.445 0.250

CaDy2Ho3Te6 (PBE, optimized geometry); symmetry = C2/m (12); formation energy (no corrections) = -1.32 eV per atom; calculated density = 7.6 Mg/m³; final energy = -4.97 eV/atom; crystal system = monoclinic
1.0
4.364 0.000 0.000
0.000 8.740 0.294
-2.182 -2.542 9.177
Te Dy Ca Ho
6 2 1 3
direct
0.332 0.919 0.664
0.664 0.583 0.328
0.336 0.417 0.672
0.998 0.747 0.996
0.668 0.081 0.336
0.002 0.253 0.004
0.828 0.657 0.657
0.172 0.343 0.343
0.500 0.000 0.000
0.500 0.500 0.000
0.166 0.824 0.333
0.834 0.176 0.667

Repeat the first record exactly.
Y6Zn5Tc (PBE, optimized geometry); symmetry = Cmmm (65); E_form = -317.2 meV per atom; calculated density = 5.9 Mg/m³; final energy = -4.94 eV/atom; crystal system = orthorhombic
1.0
-4.006 1.463 2.653
-1.201 -6.775 1.922
2.355 1.677 7.383
Zn Y Tc
5 6 1
direct
0.000 0.500 0.000
0.333 0.500 0.333
0.669 0.000 0.661
0.667 0.500 0.667
0.331 0.000 0.339
0.838 0.244 0.323
0.500 0.240 0.000
0.500 0.760 0.000
0.162 0.756 0.677
0.162 0.244 0.677
0.838 0.756 0.323
0.000 0.000 0.000

Question: Among the records above, which one has the highest final energy?
Answer: ReSb3P

Question: Which of these has the lowest final energy?
Answer: Th2ScRh

Question: Number 4 is which compound?
Answer: Th2ScRh